No. 1
Crystalline Li2HfAgAu at its relaxed geometry, computed with PBE-GGA.

a b c (Å): 5.3296 5.3296 5.1158
angles (deg): 90.00 90.00 90.00
Last column: nearest neighbours and their distance in Å.
Space group P4/mmm (No. 123)
Symmetry-distinct sites (fractional):
Li  0.0000  0.5000  0.0000  2 Hf 2.66
Hf  0.0000  0.0000  0.0000  2 Au 2.56, 4 Li 2.66
Ag  0.5000  0.5000  0.5000  8 Li 3.69, 4 Au 3.77
Au  0.0000  0.0000  0.5000  2 Hf 2.56

Values from the calculation:
Spin magnetization, μB per cell: 1.29
Fermi-level density of states, states/eV/f.u.: 3.90
Calculated total energy, eV/atom: -2.94


No. 2
Crystalline HfMnAgAu2 at its relaxed geometry, computed with PBE-GGA.

a b c (Å): 5.1944 5.1944 4.6981
angles (deg): 90.00 90.00 90.00
Last column: nearest neighbours and their distance in Å.
Space group P4/mmm (No. 123)
Symmetry-distinct sites (fractional):
Hf  0.0000  0.0000  0.0000  2 Mn 2.35, 4 Au 2.60
Mn  0.0000  0.0000  0.5000  2 Hf 2.35
Ag  0.5000  0.5000  0.5000  8 Au 3.50, 4 Mn 3.67
Au  0.0000  0.5000  0.0000  2 Hf 2.60

Values from the calculation:
Spin magnetization, μB per cell: 2.77
Fermi-level density of states, states/eV/f.u.: 3.37
Calculated total energy, eV/atom: -4.75


No. 3
Crystalline Hf2NbAgAu at its relaxed geometry, computed with PBE-GGA.

a b c (Å): 5.0011 5.0011 5.1464
angles (deg): 90.00 90.00 90.00
Last column: nearest neighbours and their distance in Å.
Space group P4/mmm (No. 123)
Symmetry-distinct sites (fractional):
Hf  0.0000  0.5000  0.0000  2 Nb 2.50
Nb  0.0000  0.0000  0.0000  4 Hf 2.50, 2 Au 2.57
Ag  0.5000  0.5000  0.5000  4 Au 3.54, 8 Hf 3.59
Au  0.0000  0.0000  0.5000  2 Nb 2.57

Values from the calculation:
Spin magnetization, μB per cell: 0.00
Fermi-level density of states, states/eV/f.u.: 4.48
Calculated total energy, eV/atom: -6.19


No. 4
Crystalline HfNiAgAu at its relaxed geometry, computed with PBE-GGA.

a b c (Å): 6.4637 6.4637 6.4637
angles (deg): 90.00 90.00 90.00
Last column: nearest neighbours and their distance in Å.
Space group F-43m (No. 216)
Symmetry-distinct sites (fractional):
Hf  0.0000  0.0000  0.0000  4 Ni 2.80, 4 Au 2.80
Ni  0.2500  0.2500  0.7500  4 Hf 2.80, 4 Ag 2.80
Ag  0.0000  0.0000  0.5000  4 Ni 2.80, 4 Au 2.80
Au  0.2500  0.2500  0.2500  4 Hf 2.80, 4 Ag 2.80

Values from the calculation:
Spin magnetization, μB per cell: 0.00
Fermi-level density of states, states/eV/f.u.: 2.95
Calculated total energy, eV/atom: -5.69


No. 5
Crystalline HfAgPb2Au at its relaxed geometry, computed with PBE-GGA.

a b c (Å): 5.4055 5.4055 5.0647
angles (deg): 90.00 90.00 90.00
Last column: nearest neighbours and their distance in Å.
Space group P4/mmm (No. 123)
Symmetry-distinct sites (fractional):
Hf  0.0000  0.0000  0.0000  8 Pb 3.70, 4 Ag 3.82
Ag  0.5000  0.5000  0.0000  2 Au 2.53
Pb  0.0000  0.5000  0.5000  2 Au 2.70
Au  0.5000  0.5000  0.5000  2 Ag 2.53, 4 Pb 2.70

Values from the calculation:
Spin magnetization, μB per cell: 0.00
Fermi-level density of states, states/eV/f.u.: 3.39
Calculated total energy, eV/atom: -3.90


No. 6
Crystalline PmHfAgAu at its relaxed geometry, computed with PBE-GGA.

a b c (Å): 7.1073 7.1073 7.1073
angles (deg): 90.00 90.00 90.00
Last column: nearest neighbours and their distance in Å.
Space group F-43m (No. 216)
Symmetry-distinct sites (fractional):
Pm  0.0000  0.0000  0.0000  4 Ag 3.08, 4 Au 3.08
Hf  0.0000  0.0000  0.5000  4 Au 3.08, 4 Ag 3.08
Ag  0.2500  0.2500  0.7500  4 Hf 3.08, 4 Pm 3.08
Au  0.2500  0.2500  0.2500  4 Pm 3.08, 4 Hf 3.08

Values from the calculation:
Spin magnetization, μB per cell: 1.22
Fermi-level density of states, states/eV/f.u.: 4.82
Calculated total energy, eV/atom: -5.45